Entry 1:
CrIF | GGA+U | relaxed

Cell lengths 6.028, 6.028, 3.980 Å; angles 90.00, 90.00, 90.00 degrees
Atoms (fractional coordinates):
Cr 0.250 0.250 0.003
Cr 0.750 0.750 0.997
I 0.250 0.750 0.000
I 0.750 0.250 0.000
F 0.250 0.250 0.503
F 0.750 0.750 0.497

Properties
ΔE to the lowest computed polymorph = 3.0 kJ/mol of atoms

Entry 2:
CrIF3 | GGA+U | relaxed

Cell lengths 4.781, 4.781, 4.781 Å; angles 90.00, 90.00, 90.00 degrees
Atoms (fractional coordinates):
Cr 0.000 0.000 0.000
I 0.500 0.500 0.500
F 0.000 0.500 0.500
F 0.500 0.000 0.500
F 0.500 0.500 0.000

Properties
ΔE to the lowest computed polymorph = 84.2 kJ/mol of atoms

Entry 3:
CrIF2 | GGA+U | relaxed

Cell lengths 6.096, 6.096, 9.907 Å; angles 90.00, 90.00, 90.00 degrees
Atoms (fractional coordinates):
Cr 0.000 0.250 0.375
Cr 0.000 0.750 0.625
Cr 0.500 0.250 0.125
Cr 0.500 0.750 0.875
I 0.000 0.250 0.875
I 0.000 0.750 0.125
I 0.500 0.250 0.625
I 0.500 0.750 0.375
F 0.000 0.000 0.500
F 0.000 0.500 0.500
F 0.250 0.250 0.250
F 0.250 0.750 0.750
F 0.500 0.000 0.000
F 0.500 0.500 0.000
F 0.750 0.250 0.250
F 0.750 0.750 0.750

Properties
ΔE to the lowest computed polymorph = 0.0 kJ/mol of atoms